## MgCoBW (PBE-GGA)

Data for a relaxed MgCoBW crystal.

Lattice parameters (Å, degrees): 4.116 4.116 4.116 60.00 60.00 60.00
Atoms (fractional coordinates):
Co 0.750 0.750 0.750
W 0.500 0.500 0.500
Mg 0.250 0.250 0.250
B 0.000 0.000 0.000

Space group   F-43m, No. 216
Size of the total moment   2.0 μB per cell
V   49.3 Å³/f.u.
Energy relative to the lowest polymorph listed for this composition   0.087 eV/atom